1.
Material: PdC2I2
Method: DFT, meta-GGA SCAN
State: PBEsol geometry

Computed properties:
formation energy from raw total energies	12.0	eV/f.u.
total energy	-22.888	eV per atom
DOS(E_F)	0.401	states/eV per atom

Geometry as extended XYZ:
```
5
Lattice="-3.656 -0.614 -1.563 0.980 -3.822 -0.790 -0.474 0.759 5.989" Properties=species:S:1:pos:R:3 pbc="T T T"
C -0.416 -2.640 2.011
Pd 0.000 0.000 0.000
I -1.241 -0.999 3.296
I -1.909 -2.678 0.340
C -2.734 -1.037 1.625
```

2.
Material: Sr2ZrTaMn
Method: DFT, meta-GGA SCAN
State: PBEsol geometry

Computed properties:
formation energy	131.5	kJ per mole of atoms
total energy	-30.654	eV per atom
DOS(E_F)	1.031	states/eV per atom

Geometry as extended XYZ:
```
5
Lattice="4.823 0.000 0.000 0.000 5.938 0.000 0.000 0.000 5.938" Properties=species:S:1:pos:R:3 pbc="T T T"
Mn 2.411 2.969 2.969
Ta 2.411 0.000 0.000
Sr 0.000 2.969 0.000
Sr 0.000 0.000 2.969
Zr 0.000 0.000 0.000
```

3.
Material: TaHgBr2
Method: DFT, meta-GGA SCAN
State: PBEsol geometry

Computed properties:
formation energy from raw total energies	2.9	eV/f.u.
E above lowest polymorph	57.8	kJ per mole of atoms
total energy	-42.701	eV per atom
DOS(E_F)	0.526	states/eV per atom

Geometry as extended XYZ:
```
4
Lattice="-0.087 -1.936 -4.069 -3.148 -1.954 3.493 -1.248 3.921 -1.839" Properties=species:S:1:pos:R:3 pbc="T T T"
Br -1.952 -1.449 -1.765
Ta 0.000 0.000 0.000
Hg -0.668 0.993 -2.954
Br -2.532 1.480 -0.650
```

4.
Material: ZrMo2C
Method: DFT, meta-GGA SCAN
State: PBEsol geometry

Computed properties:
formation energy	43.1	kJ per mole of atoms
total energy	-27.195	eV per atom
DOS(E_F)	0.765	states/eV per atom

Geometry as extended XYZ:
```
4
Lattice="-1.673 -0.223 -2.159 1.941 -1.374 -1.362 -2.666 -6.473 2.733" Properties=species:S:1:pos:R:3 pbc="T T T"
Mo -0.888 -2.156 0.910
Mo -1.778 -4.317 1.822
Zr 0.134 -0.798 -1.760
C -1.199 -4.035 -0.394
```

5.
Material: Sr2CaOsC
Method: DFT, meta-GGA SCAN
State: PBEsol geometry

Computed properties:
formation energy	66.6	kJ per mole of atoms
total energy	-26.549	eV per atom
DOS(E_F)	0.655	states/eV per atom

Geometry as extended XYZ:
```
5
Lattice="3.972 0.000 0.000 0.000 6.008 0.000 0.000 0.000 6.008" Properties=species:S:1:pos:R:3 pbc="T T T"
Os 0.000 0.000 0.000
Sr 0.000 0.000 3.004
Ca 1.986 3.004 3.004
C 1.986 0.000 0.000
Sr 0.000 3.004 0.000
```

6.
Material: NaTiN2O
Method: DFT, meta-GGA SCAN
State: PBEsol geometry

Computed properties:
formation energy from raw total energies	5.8	eV/f.u.
total energy	-7.852	eV per atom
DOS(E_F)	0.404	states/eV per atom

Geometry as extended XYZ:
```
5
Lattice="3.768 0.000 0.000 0.000 3.911 0.000 0.000 0.000 3.911" Properties=species:S:1:pos:R:3 pbc="T T T"
Ti 1.884 1.956 1.956
Na 0.000 0.000 0.000
N 0.000 1.956 0.000
N 0.000 0.000 1.956
O 1.884 0.000 0.000
```

7.
Material: TiCdH3
Method: DFT, meta-GGA SCAN
State: PBEsol geometry

Computed properties:
total energy	-11.359	eV per atom
DOS(E_F)	0.361	states/eV per atom

Geometry as extended XYZ:
```
5
Lattice="-0.561 -1.479 -3.235 3.135 -1.753 0.258 -1.680 -2.777 1.560" Properties=species:S:1:pos:R:3 pbc="T T T"
H 1.568 -0.876 0.129
H -0.840 -1.388 0.780
Cd 0.447 -3.004 -0.709
Ti 0.000 0.000 0.000
H -0.280 -0.739 -1.618
```

8.
Material: ZrCr2Se
Method: DFT, meta-GGA SCAN
State: PBEsol geometry

Computed properties:
formation energy from raw total energies	-0.1	eV/f.u.
total energy	-21.924	eV per atom
DOS(E_F)	0.584	states/eV per atom

Geometry as extended XYZ:
```
4
Lattice="3.189 0.000 0.000 0.000 4.312 0.000 -1.595 -2.156 4.337" Properties=species:S:1:pos:R:3 pbc="T T T"
Zr 0.000 2.156 2.176
Cr 1.595 0.000 2.151
Se 0.000 0.000 4.165
Cr 0.000 0.000 0.183
```

9.
Material: MgTaCl2
Method: DFT, meta-GGA SCAN
State: PBEsol geometry

Computed properties:
formation energy from raw total energies	1.1	eV/f.u.
total energy	-21.601	eV per atom
DOS(E_F)	0.561	states/eV per atom

Geometry as extended XYZ:
```
4
Lattice="-1.187 2.740 0.257 -1.171 -0.940 4.610 4.451 1.901 0.287" Properties=species:S:1:pos:R:3 pbc="T T T"
Cl -0.586 -0.470 2.305
Ta 1.046 1.850 2.577
Mg -0.593 1.370 0.129
Cl 2.225 0.951 0.143
```

10.
Material: Be2AgHg
Method: DFT, meta-GGA SCAN
State: PBEsol geometry

Computed properties:
formation energy	39.4	kJ per mole of atoms
total energy	-26.652	eV per atom
DOS(E_F)	0.251	states/eV per atom

Geometry as extended XYZ:
```
4
Lattice="-2.352 1.466 0.572 -2.095 0.111 -1.899 -4.886 -6.244 2.917" Properties=species:S:1:pos:R:3 pbc="T T T"
Be -7.117 -3.734 1.308
Hg -4.747 -2.494 0.874
Ag -2.198 -0.899 0.264
Be -4.823 -6.118 2.855
```

11.
Material: GeMoIO2
Method: DFT, meta-GGA SCAN
State: PBEsol geometry

Computed properties:
formation energy from raw total energies	0.8	eV/f.u.
E above lowest polymorph	63.2	kJ per mole of atoms
total energy	-20.470	eV per atom
DOS(E_F)	0.253	states/eV per atom

Geometry as extended XYZ:
```
5
Lattice="3.826 0.000 0.000 0.000 3.826 0.000 0.000 0.000 5.985" Properties=species:S:1:pos:R:3 pbc="T T T"
I 0.000 0.000 2.993
Mo 1.913 1.913 2.993
O 0.000 1.913 0.000
Ge 0.000 0.000 0.000
O 1.913 0.000 0.000
```

12.
Material: NpO2F2
Method: DFT, meta-GGA SCAN
State: PBEsol geometry

Computed properties:
formation energy from raw total energies	-15.6	eV/f.u.
total energy	-28.421	eV per atom

Geometry as extended XYZ:
```
5
Lattice="-2.844 2.461 -1.755 -3.752 -1.506 -0.939 -4.009 1.749 4.041" Properties=species:S:1:pos:R:3 pbc="T T T"
O -7.180 1.417 -1.099
F -6.204 2.064 3.134
O -3.424 1.287 2.446
Np 0.000 0.000 0.000
F -4.400 0.640 -1.787
```

13.
Material: Li3TaO4
Method: DFT, meta-GGA SCAN
State: PBEsol geometry

Computed properties:
formation energy from raw total energies	-21.7	eV/f.u.
E above lowest polymorph	0.1	kJ per mole of atoms
total energy	-15.048	eV per atom
DOS(E_F)	0.000	states/eV per atom

Geometry as extended XYZ:
```
48
Lattice="5.967 0.000 0.000 0.000 5.991 -0.003 0.000 -2.974 12.405" Properties=species:S:1:pos:R:3 pbc="T T T"
Li 2.237 0.513 1.028
Li 5.230 3.739 5.077
O 0.674 2.347 0.932
Li 3.729 2.333 7.148
Ta 2.438 0.765 9.302
O 0.674 2.157 5.268
Li 5.243 0.765 9.302
O 3.806 5.183 0.986
O 5.142 3.650 3.002
O 0.685 5.180 1.085
O 5.142 0.854 3.198
O 3.806 -0.679 5.214
O 2.161 -2.166 11.416
O 2.142 0.843 7.334
O 0.825 -0.633 9.400
O 3.668 -0.667 9.248
Li 0.736 2.252 11.279
Ta 0.734 -0.918 11.368
Ta 0.734 2.448 7.236
Li 2.237 0.684 5.254
Ta 5.233 0.569 5.166
Li 5.230 0.765 1.123
Li 3.729 -0.803 11.456
Li 2.329 -2.230 9.304
O 2.142 0.687 11.271
Li 4.981 -2.230 9.304
Li 3.638 -0.743 3.101
Li 0.724 2.252 3.100
O 0.685 -0.676 5.115
Li 0.736 -0.722 7.325
O 2.161 3.696 7.188
O 2.298 3.684 3.154
O 0.825 2.163 9.204
O 5.282 -2.163 11.317
Li 3.729 2.504 11.374
O 5.293 0.860 7.134
Li 2.237 3.991 5.171
O 2.298 0.820 3.045
Ta 3.529 2.252 3.100
Li 3.729 -0.974 7.231
O 5.293 0.670 11.470
Ta 5.233 3.935 1.034
O 3.668 2.197 9.357
Li 0.985 -0.743 3.101
O 3.824 2.174 5.068
Li 2.237 3.820 0.946
O 5.282 3.694 7.288
O 3.824 2.330 1.131
```

14.
Material: BeNi2Cl
Method: DFT, meta-GGA SCAN
State: PBEsol geometry

Computed properties:
formation energy from raw total energies	2.8	eV/f.u.
E above lowest polymorph	64.0	kJ per mole of atoms
total energy	-10.463	eV per atom
DOS(E_F)	0.490	states/eV per atom

Geometry as extended XYZ:
```
4
Lattice="-0.558 1.156 -3.806 -3.555 -0.587 -1.777 -2.377 3.133 -0.820" Properties=species:S:1:pos:R:3 pbc="T T T"
Be -3.245 1.851 -3.202
Cl -1.622 0.925 -1.601
Ni -4.867 2.776 -4.802
Ni 0.000 0.000 0.000
```

15.
Material: CuAg2SbF
Method: DFT, meta-GGA SCAN
State: PBEsol geometry

Computed properties:
formation energy from raw total energies	-0.8	eV/f.u.
total energy	-23.909	eV per atom
DOS(E_F)	0.171	states/eV per atom

Geometry as extended XYZ:
```
5
Lattice="-1.906 -0.047 3.227 3.740 -2.168 2.178 1.839 4.328 1.150" Properties=species:S:1:pos:R:3 pbc="T T T"
Ag 1.870 -1.084 1.089
F 0.000 0.000 0.000
Sb 1.837 1.056 3.277
Ag 0.920 2.164 0.575
Cu -0.953 -0.024 1.613
```

16.
Material: InIrW2
Method: DFT, meta-GGA SCAN
State: PBEsol geometry

Computed properties:
formation energy	49.8	kJ per mole of atoms
total energy	-60.449	eV per atom
DOS(E_F)	0.683	states/eV per atom

Geometry as extended XYZ:
```
4
Lattice="3.418 0.000 0.000 0.000 3.418 0.000 0.000 0.000 5.733" Properties=species:S:1:pos:R:3 pbc="T T T"
Ir 1.709 1.709 2.867
W 0.000 0.000 1.629
In 1.709 1.709 0.000
W 0.000 0.000 4.104
```

17.
Material: BaHfTaB2
Method: DFT, meta-GGA SCAN
State: PBEsol geometry

Computed properties:
formation energy	175.1	kJ per mole of atoms
total energy	-34.919	eV per atom
DOS(E_F)	0.839	states/eV per atom

Geometry as extended XYZ:
```
5
Lattice="-4.146 -0.424 1.366 1.174 -3.403 2.506 0.994 3.327 4.052" Properties=species:S:1:pos:R:3 pbc="T T T"
Ta 0.000 0.000 0.000
B 0.587 -1.701 1.253
Ba 0.497 1.664 2.026
B -2.073 -0.212 0.683
Hf -0.989 -0.250 3.962
```

18.
Material: TiNiPb3
Method: DFT, meta-GGA SCAN
State: PBEsol geometry

Computed properties:
formation energy	45.6	kJ per mole of atoms
total energy	-51.437	eV per atom
DOS(E_F)	0.839	states/eV per atom

Geometry as extended XYZ:
```
5
Lattice="-4.960 -0.443 -0.672 -0.370 -2.475 4.358 -0.715 4.351 2.410" Properties=species:S:1:pos:R:3 pbc="T T T"
Ni 0.000 0.000 0.000
Pb -0.185 -1.237 2.179
Ti -3.022 0.717 3.048
Pb -0.357 2.176 1.205
Pb -2.480 -0.221 -0.336
```

19.
Material: PPb2O
Method: DFT, meta-GGA SCAN
State: PBEsol geometry

Computed properties:
formation energy from raw total energies	0.3	eV/f.u.
total energy	-41.973	eV per atom
DOS(E_F)	0.436	states/eV per atom

Geometry as extended XYZ:
```
4
Lattice="-1.784 -4.293 -0.965 0.009 -1.627 -4.461 2.899 -3.556 -1.224" Properties=species:S:1:pos:R:3 pbc="T T T"
Pb 0.843 -7.107 -4.987
O 0.000 0.000 0.000
Pb 0.281 -2.369 -1.662
P 0.562 -4.738 -3.325
```

20.
Material: Co3Ir
Method: DFT, meta-GGA SCAN
State: PBEsol geometry

Computed properties:
formation energy	3.9	kJ per mole of atoms
total energy	-30.713	eV per atom
DOS(E_F)	0.868	states/eV per atom

Geometry as extended XYZ:
```
8
Lattice="4.057 0.000 0.000 0.000 4.377 0.000 0.000 0.000 5.061" Properties=species:S:1:pos:R:3 pbc="T T T"
Ir 2.028 1.462 2.530
Co 0.000 0.713 1.261
Ir 0.000 2.916 0.000
Co 0.000 2.948 2.530
Co 2.028 3.665 3.792
Co 2.028 3.665 1.269
Co 0.000 0.713 3.800
Co 2.028 1.429 0.000
```

21.
Material: BaRu3N
Method: DFT, meta-GGA SCAN
State: PBEsol geometry

Computed properties:
formation energy from raw total energies	18.7	eV/f.u.
E above lowest polymorph	291.6	kJ per mole of atoms
total energy	-26.926	eV per atom
DOS(E_F)	0.938	states/eV per atom

Geometry as extended XYZ:
```
5
Lattice="4.971 0.000 0.000 0.000 4.971 0.000 0.000 0.000 4.971" Properties=species:S:1:pos:R:3 pbc="T T T"
Ba 0.000 0.000 0.000
Ru 0.000 0.000 2.485
N 2.485 2.485 2.485
Ru 2.485 0.000 0.000
Ru 0.000 2.485 0.000
```

22.
Material: ZrAl2Cu
Method: DFT, meta-GGA SCAN
State: PBEsol geometry

Computed properties:
formation energy	-53.3	kJ per mole of atoms
total energy	-15.903	eV per atom
DOS(E_F)	0.271	states/eV per atom

Geometry as extended XYZ:
```
12
Lattice="5.261 0.000 0.000 2.631 4.556 0.000 2.631 1.519 7.909" Properties=species:S:1:pos:R:3 pbc="T T T"
Al 6.590 3.805 5.923
Cu 5.261 3.038 3.954
Zr 7.892 4.556 3.350
Al 5.261 4.572 1.986
Zr 0.000 0.000 0.000
Al 3.933 3.805 5.923
Cu 5.261 3.038 7.887
Cu 5.261 3.038 0.022
Al 3.933 2.270 1.986
Zr 2.631 1.519 4.558
Al 6.590 2.270 1.986
Al 5.261 1.503 5.923
```

23.
Material: DyMgTl
Method: DFT, meta-GGA SCAN
State: PBEsol geometry

Computed properties:
formation energy	-52.5	kJ per mole of atoms
total energy	-42.254	eV per atom
DOS(E_F)	0.085	states/eV per atom

Geometry as extended XYZ:
```
9
Lattice="4.600 0.000 0.000 0.000 7.445 0.000 0.000 -3.722 6.448" Properties=species:S:1:pos:R:3 pbc="T T T"
Tl 2.300 0.000 4.298
Tl 2.300 3.722 2.149
Mg 2.300 -2.817 4.879
Tl 0.000 0.000 0.000
Dy 0.000 3.208 0.000
Dy 0.000 2.118 3.669
Dy 0.000 -1.604 2.779
Mg 2.300 5.634 0.000
Mg 2.300 0.906 1.568
```

24.
Material: Ba7Al4Ge9
Method: DFT, meta-GGA SCAN
State: PBEsol geometry

Computed properties:
formation energy	-55.4	kJ per mole of atoms
total energy	-24.556	eV per atom
DOS(E_F)	0.343	states/eV per atom

Geometry as extended XYZ:
```
20
Lattice="-3.536 4.910 2.841 -4.963 -3.835 -2.312 4.116 -7.011 10.757" Properties=species:S:1:pos:R:3 pbc="T T T"
Ge -2.032 0.257 0.126
Ge -2.657 -2.291 4.624
Ba -2.810 -2.978 1.255
Ba -2.962 -7.244 7.497
Al -6.752 -1.748 4.836
Ba -5.323 0.673 0.331
Al 0.009 -0.791 1.340
Ge -4.833 -2.125 -1.307
Ge -4.758 -1.259 3.455
Ba -0.094 -1.002 6.823
Al -4.341 -5.151 9.943
Ge 1.567 -4.061 6.457
Ba -2.176 -2.426 10.336
Ge -0.566 -4.557 7.890
Ge -4.693 -3.868 7.864
Ge -0.394 -1.978 3.466
Ge -3.958 3.237 1.854
Ba -0.807 -5.374 4.246
Ba -2.170 0.949 3.569
Al -2.529 -3.568 6.755
```

25.
Material: KNaNi3
Method: DFT, meta-GGA SCAN
State: PBEsol geometry

Computed properties:
formation energy	149.1	kJ per mole of atoms
total energy	-10.668	eV per atom
DOS(E_F)	0.497	states/eV per atom

Geometry as extended XYZ:
```
5
Lattice="-2.923 2.424 2.721 -2.961 -3.613 0.039 2.125 -1.700 3.797" Properties=species:S:1:pos:R:3 pbc="T T T"
Ni 1.062 -0.850 1.899
Ni -1.480 -1.807 0.020
K -1.879 -1.444 3.279
Na 0.000 0.000 0.000
Ni -1.462 1.212 1.360
```